<a>
Here is a relaxed Th2P2S crystal from Alexandria. Energies are from PBE.

The calculation puts the volume at 23.7 A^3/atom. The value obtained for the density of states at the Fermi level is 0.3069 states/eV per atom.

The structure belongs to space group C2/m (No. 12); the cell edges are 7.2973, 4.7326 and 7.0331 Å and the angles 90.00°, 102.33° and 90.00°. The asymmetric unit holds Th at (0.2021, 0.0000, 0.2245), P at (0.0000, 0.2372, 0.5000) and S at (0.0000, 0.5000, 0.0000).

<b>
Here is a relaxed Th2P2S crystal from Alexandria. Energies are from PBE.

The calculation puts the volume at 33.5 A^3/atom. The value obtained for the density of states at the Fermi level is 0.8836 states/eV per atom.

The structure belongs to space group P4/mmm (No. 123); the cell edges are 3.6313, 3.6313 and 12.6896 Å and the angles 90.00°, 90.00° and 90.00°. The asymmetric unit holds Th at (0.0000, 0.0000, 0.2054), P at (0.0000, 0.0000, 0.4223) and S at (0.0000, 0.0000, 0.0000).

Most stable structure, least stable structure: <a>, <b>.

<a>
Here is a relaxed Th2PS crystal from Alexandria. Energies are from PBE.

The calculation puts the volume at 24.8 A^3/atom. The value obtained for the density of states at the Fermi level is 0.7815 states/eV per atom.

The structure belongs to space group R3m (No. 160, hexagonal axes); the cell edges are 3.9716, 3.9716 and 21.7633 Å and the angles 90.00°, 90.00° and 120.00°. The asymmetric unit holds Th at (0.0000, 0.0000, 0.0000), Th at (0.0000, 0.0000, 0.1777), P at (0.0000, 0.0000, 0.5888) and S at (0.0000, 0.0000, 0.4205).

<b>
Here is a relaxed Th2PS crystal from Alexandria. Energies are from PBE.

The calculation puts the volume at 24.3 A^3/atom. The value obtained for the density of states at the Fermi level is 0.4968 states/eV per atom.

The structure belongs to space group R-3m (No. 166, hexagonal axes); the cell edges are 4.0975, 4.0975 and 20.0272 Å and the angles 90.00°, 90.00° and 120.00°. The asymmetric unit holds Th at (0.0000, 0.0000, 0.2490), P at (0.0000, 0.0000, 0.5000) and S at (0.0000, 0.0000, 0.0000).

<c>
Here is a relaxed Th2PS crystal from Alexandria. Energies are from PBE.

The calculation puts the volume at 24.9 A^3/atom. The value obtained for the density of states at the Fermi level is 0.5457 states/eV per atom.

The structure belongs to space group P6_3/mmc (No. 194); the cell edges are 4.0341, 4.0341 and 14.1089 Å and the angles 90.00°, 90.00° and 120.00°. The asymmetric unit holds Th at (0.3333, 0.6667, 0.1150), P at (0.0000, 0.0000, 0.0000) and S at (0.3333, 0.6667, 0.7500).

Most stable structure, least stable structure: <b>, <a>.

<a>
Here is a relaxed Th4P3S crystal from Alexandria. Energies are from PBE.

The calculation puts the volume at 24.7 A^3/atom. The value obtained for the density of states at the Fermi level is 0.6507 states/eV per atom.

The structure belongs to space group R-3m (No. 166, hexagonal axes); the cell edges are 4.1251, 4.1251 and 40.2164 Å and the angles 90.00°, 90.00° and 120.00°. The asymmetric unit holds Th at (0.0000, 0.0000, 0.1244), Th at (0.0000, 0.0000, 0.3749), P at (0.0000, 0.0000, 0.2509), P at (0.0000, 0.0000, 0.5000) and S at (0.0000, 0.0000, 0.0000).

<b>
Here is a relaxed Th4P3S crystal from Alexandria. Energies are from PBE.

The calculation puts the volume at 24.7 A^3/atom. The value obtained for the density of states at the Fermi level is 1.0375 states/eV per atom.

The structure belongs to space group Pm-3m (No. 221); the cell edges are 5.8263, 5.8263 and 5.8263 Å and the angles 90.00°, 90.00° and 90.00°. The asymmetric unit holds Th at (0.0000, 0.0000, 0.0000), Th at (0.0000, 0.5000, 0.5000), P at (0.0000, 0.0000, 0.5000) and S at (0.5000, 0.5000, 0.5000).

Most stable structure, least stable structure: <a>, <b>.

<a>
Here is a relaxed TiP3S crystal from Alexandria. Energies are from PBE.

The calculation puts the volume at 17.2 A^3/atom. The value obtained for the density of states at the Fermi level is 0.8759 states/eV per atom.

The structure belongs to space group Pm-3m (No. 221); the cell edges are 4.4161, 4.4161 and 4.4161 Å and the angles 90.00°, 90.00° and 90.00°. The asymmetric unit holds Ti at (0.0000, 0.0000, 0.0000), P at (0.0000, 0.5000, 0.5000) and S at (0.5000, 0.5000, 0.5000).

<b>
Here is a relaxed TiP3S crystal from Alexandria. Energies are from PBE.

The calculation puts the volume at 20.4 A^3/atom. The value obtained for the density of states at the Fermi level is 1.2194 states/eV per atom.

The structure belongs to space group Pm-3m (No. 221); the cell edges are 4.6758, 4.6758 and 4.6758 Å and the angles 90.00°, 90.00° and 90.00°. The asymmetric unit holds Ti at (0.0000, 0.0000, 0.0000), P at (0.0000, 0.0000, 0.5000) and S at (0.5000, 0.5000, 0.5000).

Most stable structure, least stable structure: <b>, <a>.

<a>
Here is a relaxed Ti3PS crystal from Alexandria. Energies are from PBE.

The calculation puts the volume at 17.4 A^3/atom. The value obtained for the density of states at the Fermi level is 0.6276 states/eV per atom.

The structure belongs to space group C2/m (No. 12); the cell edges are 12.8933, 4.1993 and 6.4520 Å and the angles 90.00°, 92.82° and 90.00°. The asymmetric unit holds Ti at (0.0421, 0.0000, 0.2506), Ti at (0.1821, 0.5000, 0.0570), Ti at (0.1831, 0.0000, 0.5808), P at (0.1212, 0.5000, 0.4110) and S at (0.1277, 0.0000, 0.9266).

<b>
Here is a relaxed Ti3PS crystal from Alexandria. Energies are from PBE.

The calculation puts the volume at 17.4 A^3/atom. The value obtained for the density of states at the Fermi level is 1.0971 states/eV per atom.

The structure belongs to space group Pm-3m (No. 221); the cell edges are 4.4337, 4.4337 and 4.4337 Å and the angles 90.00°, 90.00° and 90.00°. The asymmetric unit holds Ti at (0.0000, 0.0000, 0.5000), P at (0.5000, 0.5000, 0.5000) and S at (0.0000, 0.0000, 0.0000).

Most stable structure, least stable structure: <a>, <b>.

<a>
Here is a relaxed TiTlPS2 crystal from Alexandria. Energies are from PBE.

The calculation puts the volume at 25.1 A^3/atom. The value obtained for the density of states at the Fermi level is 1.5176 states/eV per atom.

The structure belongs to space group P4/mmm (No. 123); the cell edges are 5.0053, 5.0053 and 5.0116 Å and the angles 90.00°, 90.00° and 90.00°. The asymmetric unit holds Ti at (0.0000, 0.0000, 0.0000), Tl at (0.5000, 0.5000, 0.5000), P at (0.5000, 0.5000, 0.0000) and S at (0.0000, 0.5000, 0.5000).

<b>
Here is a relaxed TiTlPS2 crystal from Alexandria. Energies are from PBE.

The calculation puts the volume at 22.1 A^3/atom. The value obtained for the density of states at the Fermi level is 0.5782 states/eV per atom.

The structure belongs to space group P4/mmm (No. 123); the cell edges are 4.7542, 4.7542 and 4.8997 Å and the angles 90.00°, 90.00° and 90.00°. The asymmetric unit holds Ti at (0.0000, 0.0000, 0.0000), Tl at (0.5000, 0.5000, 0.5000), P at (0.0000, 0.0000, 0.5000) and S at (0.0000, 0.5000, 0.0000).

Most stable structure, least stable structure: <b>, <a>.